Record 1
# Cs6Au2I, relaxed, DFT PBE
# Magnetic moment in μB per formula unit: 0.596
# Formation energy (no corrections) in eV/atom: -0.47
# Crystal system: trigonal
# E above lowest polymorph in meV/atom: 0
data_Cs6Au2I
_chemical_formula_sum 'Cs18 Au6 I3'
_cell_length_a 9.2268
_cell_length_b 9.2268
_cell_length_c 26.5674
_cell_angle_alpha 90.00
_cell_angle_beta 90.00
_cell_angle_gamma 120.00
_symmetry_space_group_name_H-M 'R 3'
_symmetry_Int_Tables_number 146
_symmetry_space_group_name_Hall 'R 3'
loop_
_atom_site_label
_atom_site_type_symbol
_atom_site_fract_x
_atom_site_fract_y
_atom_site_fract_z
_atom_site_occupancy
Cs1 Cs 0.0020 0.6936 0.0000 1
Cs2 Cs 0.0119 0.3339 0.8334 1
Au1 Au 0.0000 0.0000 0.0874 1
Au2 Au 0.0000 0.0000 0.9115 1
I1 I 0.0000 0.0000 0.4177 1



Record 2
# LiCdBr2, relaxed, DFT PBE
# Magnetic moment in μB per formula unit: 0.000
# Formation energy (no corrections) in eV/atom: -0.86
# Crystal system: orthorhombic
# E above lowest polymorph in meV/atom: 0
data_LiCdBr2
_chemical_formula_sum 'Li2 Cd2 Br4'
_cell_length_a 5.8882
_cell_length_b 6.0726
_cell_length_c 6.1744
_cell_angle_alpha 90.00
_cell_angle_beta 90.00
_cell_angle_gamma 90.00
_symmetry_space_group_name_H-M 'C m m 2'
_symmetry_Int_Tables_number 35
loop_
_symmetry_equiv_pos_as_xyz
'x,y,z'
'-x,-y,z'
'-x,y,z'
'x,-y,z'
'x+1/2,y+1/2,z'
'-x+1/2,-y+1/2,z'
'-x+1/2,y+1/2,z'
'x+1/2,-y+1/2,z'
loop_
_atom_site_label
_atom_site_type_symbol
_atom_site_fract_x
_atom_site_fract_y
_atom_site_fract_z
_atom_site_occupancy
Li1 Li 0.0000 0.0000 0.0000 1
Cd1 Cd 0.0000 0.5000 0.4519 1
Br1 Br 0.0000 0.0000 0.4275 1
Br2 Br 0.0000 0.5000 0.9458 1



Record 3
# UAg2Br6, relaxed, DFT PBE
# Magnetic moment in μB per formula unit: 2.000
# Formation energy (no corrections) in eV/atom: -0.83
# Crystal system: monoclinic
# E above lowest polymorph in meV/atom: 28
data_UAg2Br6
_chemical_formula_sum 'U4 Ag8 Br24'
_cell_length_a 14.1601
_cell_length_b 14.7254
_cell_length_c 7.1847
_cell_angle_alpha 90.00
_cell_angle_beta 95.07
_cell_angle_gamma 90.00
_symmetry_space_group_name_H-M 'C 1 2/c 1'
_symmetry_Int_Tables_number 15
loop_
_symmetry_equiv_pos_as_xyz
'x,y,z'
'-x,-y,-z'
'-x,y,-z+1/2'
'x,-y,z+1/2'
'x+1/2,y+1/2,z'
'-x+1/2,-y+1/2,-z'
'-x+1/2,y+1/2,-z+1/2'
'x+1/2,-y+1/2,z+1/2'
loop_
_atom_site_label
_atom_site_type_symbol
_atom_site_fract_x
_atom_site_fract_y
_atom_site_fract_z
_atom_site_occupancy
U1 U 0.0000 0.0810 0.2500 1
Ag1 Ag 0.1046 0.4991 0.8065 1
Br1 Br 0.1094 0.0635 0.5994 1
Br2 Br 0.1132 0.3816 0.5561 1
Br3 Br 0.1212 0.2011 0.1317 1



Record 4
# SrRe2H, relaxed, DFT PBE
# Magnetic moment in μB per formula unit: 1.040
# Crystal system: cubic
# E above lowest polymorph in meV/atom: 1893
data_SrRe2H
_chemical_formula_sum 'Sr4 Re8 H4'
_cell_length_a 6.3902
_cell_length_b 6.3902
_cell_length_c 6.3902
_cell_angle_alpha 90.00
_cell_angle_beta 90.00
_cell_angle_gamma 90.00
_symmetry_space_group_name_H-M 'F m -3 m'
_symmetry_Int_Tables_number 225
_symmetry_space_group_name_Hall '-F 4 2 3'
loop_
_atom_site_label
_atom_site_type_symbol
_atom_site_fract_x
_atom_site_fract_y
_atom_site_fract_z
_atom_site_occupancy
Sr1 Sr 0.0000 0.0000 0.0000 1
Re1 Re 0.2500 0.2500 0.2500 1
H1 H 0.0000 0.0000 0.5000 1



Record 5
# RuF, relaxed, DFT PBE
# Magnetic moment in μB per formula unit: 0.000
# Formation energy (no corrections) in eV/atom: -0.49
# Crystal system: tetragonal
# E above lowest polymorph in meV/atom: 193
data_RuF
_chemical_formula_sum 'Ru8 F8'
_cell_length_a 8.7359
_cell_length_b 8.7359
_cell_length_c 3.4887
_cell_angle_alpha 90.00
_cell_angle_beta 90.00
_cell_angle_gamma 90.00
_symmetry_space_group_name_H-M 'P 4/m'
_symmetry_Int_Tables_number 83
loop_
_symmetry_equiv_pos_as_xyz
'x,y,z'
'-x,-y,-z'
'-y,x,z'
'y,-x,-z'
'-x,-y,z'
'x,y,-z'
'y,-x,z'
'-y,x,-z'
loop_
_atom_site_label
_atom_site_type_symbol
_atom_site_fract_x
_atom_site_fract_y
_atom_site_fract_z
_atom_site_occupancy
Ru1 Ru 0.0406 0.7724 0.0000 1
Ru2 Ru 0.0911 0.5957 0.5000 1
F1 F 0.1868 0.2714 0.0000 1
F2 F 0.2870 0.5126 0.5000 1



Record 6
# CsRb2CoBr6, relaxed, DFT PBE
# Magnetic moment in μB per formula unit: 0.000
# Formation energy (no corrections) in eV/atom: -1.10
# Crystal system: cubic
# E above lowest polymorph in meV/atom: 31
data_CsRb2CoBr6
_chemical_formula_sum 'Cs4 Rb8 Co4 Br24'
_cell_length_a 11.5402
_cell_length_b 11.5402
_cell_length_c 11.5402
_cell_angle_alpha 90.00
_cell_angle_beta 90.00
_cell_angle_gamma 90.00
_symmetry_space_group_name_H-M 'F m -3 m'
_symmetry_Int_Tables_number 225
_symmetry_space_group_name_Hall '-F 4 2 3'
loop_
_atom_site_label
_atom_site_type_symbol
_atom_site_fract_x
_atom_site_fract_y
_atom_site_fract_z
_atom_site_occupancy
Cs1 Cs 0.0000 0.0000 0.0000 1
Rb1 Rb 0.2500 0.2500 0.2500 1
Co1 Co 0.0000 0.0000 0.5000 1
Br1 Br 0.0000 0.0000 0.2900 1



Record 7
# Sc2TcIrC, relaxed, DFT PBE
# E_form in eV/atom: -0.42
# Magnetic moment in μB per formula unit: 0.000
# Crystal system: tetragonal
data_Sc2TcIrC
_chemical_formula_sum 'Sc2 Tc1 Ir1 C1'
_cell_length_a 4.4883
_cell_length_b 4.4883
_cell_length_c 3.8914
_cell_angle_alpha 90.00
_cell_angle_beta 90.00
_cell_angle_gamma 90.00
_symmetry_space_group_name_H-M 'P 4/m m m'
_symmetry_Int_Tables_number 123
_symmetry_space_group_name_Hall '-P 4 2'
loop_
_atom_site_label
_atom_site_type_symbol
_atom_site_fract_x
_atom_site_fract_y
_atom_site_fract_z
_atom_site_occupancy
Sc1 Sc 0.0000 0.5000 0.0000 1
Tc1 Tc 0.0000 0.0000 0.5000 1
Ir1 Ir 0.5000 0.5000 0.5000 1
C1 C 0.0000 0.0000 0.0000 1



Record 8
# RbSN, relaxed, DFT PBE
# Magnetic moment in μB per formula unit: 1.001
# Formation energy (no corrections) in eV/atom: -0.19
# Crystal system: orthorhombic
# E above lowest polymorph in meV/atom: 281
data_RbSN
_chemical_formula_sum 'Rb4 S4 N4'
_cell_length_a 4.2182
_cell_length_b 5.2125
_cell_length_c 20.4368
_cell_angle_alpha 90.00
_cell_angle_beta 90.00
_cell_angle_gamma 90.00
_symmetry_space_group_name_H-M 'I m m m'
_symmetry_Int_Tables_number 71
_symmetry_space_group_name_Hall '-I 2 2'
loop_
_atom_site_label
_atom_site_type_symbol
_atom_site_fract_x
_atom_site_fract_y
_atom_site_fract_z
_atom_site_occupancy
Rb1 Rb 0.0000 0.0000 0.1646 1
S1 S 0.0000 0.0000 0.3305 1
N1 N 0.0000 0.3932 0.0000 1



Record 9
# Li3CrSb, relaxed, DFT PBE
# Magnetic moment in μB per formula unit: 5.877
# Formation energy (no corrections) in eV/atom: 0.31
# Crystal system: cubic
# E above lowest polymorph in meV/atom: 0
data_Li3CrSb
_chemical_formula_sum 'Li3 Cr1 Sb1'
_cell_length_a 5.1545
_cell_length_b 5.1545
_cell_length_c 5.1545
_cell_angle_alpha 90.00
_cell_angle_beta 90.00
_cell_angle_gamma 90.00
_symmetry_space_group_name_H-M 'P m -3 m'
_symmetry_Int_Tables_number 221
_symmetry_space_group_name_Hall '-P 4 2 3'
loop_
_atom_site_label
_atom_site_type_symbol
_atom_site_fract_x
_atom_site_fract_y
_atom_site_fract_z
_atom_site_occupancy
Li1 Li 0.0000 0.0000 0.5000 1
Cr1 Cr 0.5000 0.5000 0.5000 1
Sb1 Sb 0.0000 0.0000 0.0000 1



Record 10
# Na2AgSb2, relaxed, DFT PBE
# Magnetic moment in μB per formula unit: 0.000
# Formation energy (no corrections) in eV/atom: 0.03
# Crystal system: tetragonal
# E above lowest polymorph in meV/atom: 304
data_Na2AgSb2
_chemical_formula_sum 'Na4 Ag2 Sb4'
_cell_length_a 9.2797
_cell_length_b 9.2797
_cell_length_c 3.0609
_cell_angle_alpha 90.00
_cell_angle_beta 90.00
_cell_angle_gamma 90.00
_symmetry_space_group_name_H-M 'P 4/m b m'
_symmetry_Int_Tables_number 127
_symmetry_space_group_name_Hall '-P 4 2ab'
loop_
_atom_site_label
_atom_site_type_symbol
_atom_site_fract_x
_atom_site_fract_y
_atom_site_fract_z
_atom_site_occupancy
Na1 Na 0.1174 0.3826 0.0000 1
Ag1 Ag 0.0000 0.0000 0.0000 1
Sb1 Sb 0.1828 0.6828 0.5000 1



The evaluated N(E_F) for the records listed, in turn: 0.55, 0.23, 0.27, 1.38, 0.44, 0.00, 0.78, 1.36, 0.25, 0.53 states/eV/atom.
The evaluated final energy for the records listed, in turn: -1.9384, -2.4044, -3.8349, -4.9666, -6.0655, -3.0978, -8.6395, -4.6593, -3.5910, -2.7163 eV per atom.